CaSbSe2 | PBE | relaxed

Computed properties:
Electronic total energy   -4.094 eV/atom
Formation energy from raw total energies   -3.285 eV/f.u.

Geometry as POSCAR:
```
CaSbSe2
1.0
-1.299 -4.708 -1.482
3.833 0.007 -3.371
2.241 -1.420 2.546
Ca Se Sb
1 2 1
Direct
0.500 0.000 0.500
0.000 0.000 0.000
0.500 0.500 0.000
0.000 0.500 0.500
```